Record 1
This record from Alexandria via LeMat-Bulk describes Ac3Si4Ir4 after structural relaxation. The functional is PBE-GGA.

Results
E = -158.795 eV per cell
ΔE to the lowest computed polymorph = 0 kJ/mol of formula units
Energy relative to the elements, uncorrected = -0.903 eV/atom

Unit cell a=4.203 b=4.342 c=25.165 alpha=90.00 beta=90.00 gamma=90.00
Space group Immm (No. 71)
Unique sites:
Ac (0.000, 0.000, 0.000) [2 per cell]
Ac (0.000, 0.500, 0.356) [4 per cell]
Si (0.000, 0.000, 0.451) [4 per cell]
Si (0.000, 0.500, 0.200) [4 per cell]
Ir (0.000, 0.000, 0.249) [4 per cell]
Ir (0.000, 0.500, 0.101) [4 per cell]

---

Record 2
This record from Alexandria via LeMat-Bulk describes AcSi3Ir3 after structural relaxation. The functional is PBE-GGA.

Results
E = -102.274 eV per cell
ΔE to the lowest computed polymorph = 0 kJ/mol of formula units
Energy relative to the elements, uncorrected = -0.597 eV/atom

Unit cell a=6.617 b=6.617 c=6.617 alpha=90.00 beta=90.00 gamma=90.00
Space group Pm-3n (No. 223)
Unique sites:
Ac (0.000, 0.000, 0.000) [2 per cell]
Si (0.000, 0.250, 0.500) [6 per cell]
Ir (0.000, 0.500, 0.250) [6 per cell]

---

Record 3
This record from Alexandria via LeMat-Bulk describes Ac4Si3Ir after structural relaxation. The functional is PBE-GGA.

Results
E = -46.394 eV per cell
Energy relative to the elements, uncorrected = -0.604 eV/atom

Unit cell a=4.166 b=4.659 c=11.582 alpha=90.00 beta=90.00 gamma=90.00
Space group Pmm2 (No. 25)
Unique sites:
Ac (0.000, 0.000, 0.000) [1 per cell]
Ac (0.000, 0.500, 0.492) [1 per cell]
Ac (0.500, 0.000, 0.708) [1 per cell]
Ac (0.500, 0.500, 0.215) [1 per cell]
Si (0.000, 0.500, 0.790) [1 per cell]
Si (0.500, 0.000, 0.409) [1 per cell]
Si (0.500, 0.500, 0.917) [1 per cell]
Ir (0.000, 0.000, 0.292) [1 per cell]

---

The lowest E belongs to which entry?
Ac3Si4Ir4